First-principles (PBE-GGA) data for a geometry-optimized LiBiPdPb2 structure, as listed in Alexandria.

Structure (POSCAR):
```
LiBiPdPb2
1.0
5.361 0.000 0.000
0.000 5.361 0.000
0.000 0.000 4.814
Li Bi Pd Pb
1 1 1 2
Direct
0.000 0.000 0.000 Li
0.500 0.500 0.000 Bi
0.000 0.000 0.500 Pd
0.000 0.500 0.500 Pb
0.500 0.000 0.500 Pb
```

N(E_F) ... 0.3743 states/eV/atom
Energy of formation ... -90 meV/atom